(1)
BeAlAg2: relaxed, PBE.

Results
Excess energy over the best structure of this formula in the dataset, meV/atom: 66

Lattice parameters (Å, degrees): 5.094 5.094 5.094 144.41 127.70 64.87
Positions (direct):
Be 0.000 0.000 0.000
Al 0.500 0.500 0.000
Ag 0.219 0.719 0.500
Ag 0.781 0.281 0.500

(2)
Si2GeSe6: relaxed, PBE.

Results
Raw formation energy, eV/f.u.: -2.9

Lattice parameters (Å, degrees): 9.533 9.533 6.202 108.27 108.27 91.55
Positions (direct):
Si 0.135 0.297 0.353
Si 0.297 0.135 0.853
Si 0.703 0.865 0.147
Si 0.865 0.703 0.647
Ge 0.293 0.707 0.750
Ge 0.707 0.293 0.250
Se 0.091 0.663 0.885
Se 0.092 0.228 0.653
Se 0.228 0.092 0.153
Se 0.305 0.494 0.416
Se 0.337 0.909 0.615
Se 0.494 0.305 0.916
Se 0.506 0.695 0.084
Se 0.663 0.091 0.385
Se 0.695 0.506 0.584
Se 0.772 0.908 0.847
Se 0.908 0.772 0.347
Se 0.909 0.337 0.115

(3)
ZnTe2Os: relaxed, PBE.

Results
Raw formation energy, eV/f.u.: 3.3

Lattice parameters (Å, degrees): 5.326 5.326 5.326 132.62 132.62 69.25
Positions (direct):
Zn 0.000 0.000 0.000
Te 0.500 0.500 0.000
Te 0.750 0.250 0.500
Os 0.250 0.750 0.500

(4)
Tb3TlS2: relaxed, PBE.

Results
Raw formation energy, eV/f.u.: -7.5

Lattice parameters (Å, degrees): 7.441 7.441 11.107 90.00 90.00 149.74
Positions (direct):
Tb 0.036 0.964 0.750
Tb 0.360 0.640 0.525
Tb 0.360 0.640 0.975
Tb 0.640 0.360 0.025
Tb 0.640 0.360 0.475
Tb 0.964 0.036 0.250
Tl 0.278 0.722 0.250
Tl 0.722 0.278 0.750
S 0.000 0.000 0.000
S 0.000 0.000 0.500
S 0.407 0.593 0.750
S 0.593 0.407 0.250

(5)
Dy2Si2Ni2H: relaxed, PBE.

Results
E, eV/atom: -5.748

Lattice parameters (Å, degrees): 5.531 5.531 6.815 127.49 127.49 41.95
Positions (direct):
Dy 0.056 0.056 0.293
Dy 0.944 0.944 0.707
Si 0.344 0.344 0.303
Si 0.656 0.656 0.697
Ni 0.296 0.296 0.908
Ni 0.704 0.704 0.092
H 0.500 0.500 0.000

(6)
Pr3Nd2Ho5: relaxed, PBE.

Results
Excess energy over the best structure of this formula in the dataset, meV/atom: 201

Lattice parameters (Å, degrees): 12.485 12.485 12.485 135.12 56.11 148.10
Positions (direct):
Pr 0.134 0.747 0.881
Pr 0.250 0.250 0.000
Pr 0.366 0.247 0.614
Pr 0.634 0.753 0.386
Pr 0.750 0.750 0.000
Pr 0.866 0.253 0.119
Nd 0.128 0.103 0.230
Nd 0.372 0.603 0.975
Nd 0.628 0.397 0.025
Nd 0.872 0.897 0.770
Ho 0.002 0.750 0.252
Ho 0.124 0.413 0.538
Ho 0.250 0.750 0.500
Ho 0.376 0.913 0.289
Ho 0.498 0.750 0.748
Ho 0.502 0.250 0.252
Ho 0.624 0.087 0.711
Ho 0.750 0.250 0.500
Ho 0.876 0.587 0.462
Ho 0.998 0.250 0.748